Np2SnB2Ru5 (PBE, optimized geometry); density = 12.53 g/cm³; formation energy = -0.329 eV per atom; symmetry = No. 127
1.0
3.111 0.000 0.000
0.000 9.769 0.000
0.000 0.000 9.769
Np Sn B Ru
4 2 4 10
Cartesian
0.000 6.612 1.728 Np
0.000 3.157 8.041 Np
0.000 1.728 3.157 Np
0.000 8.041 6.612 Np
0.000 0.000 0.000 Sn
0.000 4.885 4.885 Sn
0.000 1.174 6.059 B
0.000 8.595 3.710 B
0.000 6.059 8.595 B
0.000 3.710 1.174 B
1.555 2.194 0.689 Ru
1.555 7.575 9.080 Ru
1.555 0.689 7.575 Ru
1.555 7.079 4.196 Ru
1.555 9.080 2.194 Ru
1.555 2.690 5.573 Ru
1.555 5.573 7.079 Ru
1.555 4.196 2.690 Ru
1.555 4.885 0.000 Ru
1.555 0.000 4.885 Ru